(1)
Crystalline Zr2UPt at its relaxed geometry, computed with PBE.

Computed properties:
Its total energy is -8.9191 eV per atom. The calculation puts the formation enthalpy at 0 K at -0.31 eV per atom. The spin magnetization comes out at 0.5177 μB per atom. Its energy relative to the lowest polymorph listed for this composition is 0.0 kJ/mol of formula units.

Cell: 3.2760 3.2760 7.9180 Å, 90.00 90.00 90.00°
Site moments in Bohr magnetons follow the coordinates.
Fractional coordinates of all 4 atoms:
1 U 0.5000 0.5000 0.0000  1.89
2 Zr 0.0000 0.0000 0.7184  0.01
3 Zr 0.0000 0.0000 0.2816  0.01
4 Pt 0.5000 0.5000 0.5000  -0.02

***

(2)
Crystalline ZrUPt2 at its relaxed geometry, computed with PBE.

Computed properties:
Its total energy is -8.6782 eV per atom. The calculation puts the formation enthalpy at 0 K at -0.70 eV per atom. The spin magnetization comes out at 0.6371 μB per atom.

Cell: 3.2026 3.2026 7.6597 Å, 90.00 90.00 90.00°
Site moments in Bohr magnetons follow the coordinates.
Fractional coordinates of all 4 atoms:
1 U 0.5000 0.5000 0.5000  2.21
2 Zr 0.5000 0.5000 0.0000  0.06
3 Pt 0.0000 0.0000 0.7621  0.00
4 Pt 0.0000 0.0000 0.2379  0.00

***

(3)
Crystalline Zr2UPt at its relaxed geometry, computed with PBE.

Computed properties:
Its total energy is -8.7276 eV per atom. The calculation puts the formation enthalpy at 0 K at -0.12 eV per atom. The spin magnetization comes out at 0.7045 μB per atom. Its energy relative to the lowest polymorph listed for this composition is 73.9 kJ/mol of formula units.

Cell: 4.8458 4.8458 4.8458 Å, 60.00 60.00 60.00°
Site moments in Bohr magnetons follow the coordinates.
Fractional coordinates of all 4 atoms:
1 U 0.0000 0.0000 0.0000  2.00
2 Zr 0.2500 0.2500 0.2500  0.23
3 Zr 0.7500 0.7500 0.7500  0.23
4 Pt 0.5000 0.5000 0.5000  0.11